Version A
ThPd2Pt3: relaxed, GGA-PBE.

```
ThPd2Pt3
1.0
-0.809 -1.810 5.050
0.850 -7.189 -2.442
4.651 5.432 2.689
Th Pd Pt
2 4 6
direct
0.250 0.344 0.656 Th
0.750 0.656 0.344 Th
0.000 0.232 0.232 Pd
0.500 0.232 0.232 Pd
0.000 0.768 0.768 Pd
0.500 0.768 0.768 Pd
0.750 0.160 0.840 Pt
0.750 0.086 0.422 Pt
0.250 0.422 0.086 Pt
0.750 0.578 0.914 Pt
0.250 0.914 0.578 Pt
0.250 0.840 0.160 Pt
```

As for the density: 15.43 g cm⁻³.

=====

Version B
ThPd2Pt3: relaxed, GGA-PBE.

```
ThPd2Pt3
1.0
5.875 0.000 0.000
2.938 5.088 0.000
2.938 1.696 7.160
Th Pd Pt
2 4 6
direct
0.778 0.778 0.665 Th
0.222 0.222 0.335 Th
0.000 0.000 0.000 Pd
0.000 0.500 0.000 Pd
0.500 0.500 0.000 Pd
0.500 0.000 0.000 Pd
0.232 0.722 0.324 Pt
0.722 0.232 0.324 Pt
0.722 0.722 0.324 Pt
0.278 0.768 0.676 Pt
0.768 0.278 0.676 Pt
0.278 0.278 0.676 Pt
```

As for the density: 15.98 g cm⁻³.

=====

version B has the most favorable energy; the next structure is 0.156 eV/atom above.

=====

Version A
ThPd3Pt2: relaxed, GGA-PBE.

```
ThPd3Pt2
1.0
5.799 0.000 0.000
2.899 5.022 0.000
2.899 1.674 7.272
Th Pd Pt
2 6 4
direct
0.778 0.778 0.666 Th
0.222 0.222 0.334 Th
0.230 0.721 0.328 Pd
0.721 0.230 0.328 Pd
0.721 0.721 0.328 Pd
0.279 0.770 0.672 Pd
0.770 0.279 0.672 Pd
0.279 0.279 0.672 Pd
0.000 0.000 0.000 Pt
0.000 0.500 0.000 Pt
0.500 0.500 0.000 Pt
0.500 0.000 0.000 Pt
```

As for the density: 14.77 g cm⁻³.

=====

Version B
ThPd3Pt2: relaxed, GGA-PBE.

```
ThPd3Pt2
1.0
5.371 0.000 0.000
0.000 5.135 -2.620
0.000 0.679 7.673
Th Pd Pt
2 6 4
direct
0.750 0.346 0.692 Th
0.250 0.654 0.308 Th
0.750 0.840 0.681 Pd
0.250 0.160 0.319 Pd
0.750 0.921 0.342 Pd
0.250 0.079 0.658 Pd
0.750 0.421 0.342 Pd
0.250 0.579 0.658 Pd
0.000 0.763 0.000 Pt
0.500 0.237 0.000 Pt
0.000 0.237 0.000 Pt
0.500 0.763 0.000 Pt
```

As for the density: 14.13 g cm⁻³.

=====

version A has the most favorable energy; the next structure is 0.117 eV/atom above.

=====

Version A
ThPd5Pt: relaxed, GGA-PBE.

```
ThPd5Pt
1.0
5.547 0.156 -0.872
-0.809 6.821 -3.930
0.154 -0.601 6.894
Th Pd Pt
2 10 2
direct
0.750 0.267 0.500 Th
0.250 0.733 0.500 Th
0.547 0.778 0.888 Pd
0.345 0.947 0.286 Pd
0.047 0.610 0.888 Pd
0.750 0.638 0.500 Pd
0.155 0.161 0.714 Pd
0.845 0.839 0.286 Pd
0.250 0.362 0.500 Pd
0.953 0.390 0.112 Pd
0.655 0.053 0.714 Pd
0.453 0.222 0.112 Pd
0.000 0.000 0.000 Pt
0.500 0.500 0.000 Pt
```

As for the density: 12.79 g cm⁻³.

=====

Version B
ThPd5Pt: relaxed, GGA-PBE.

```
ThPd5Pt
1.0
9.477 0.000 0.000
0.000 5.087 0.000
-4.738 -2.544 2.715
Th Pd Pt
1 5 1
direct
0.989 0.500 0.000 Th
0.483 0.245 0.489 Pd
0.263 0.500 0.000 Pd
0.993 0.755 0.511 Pd
0.511 0.750 0.000 Pd
0.511 0.250 0.000 Pd
0.780 0.000 0.000 Pt
```

As for the density: 12.17 g cm⁻³.

=====

version A has the most favorable energy; the next structure is 0.088 eV/atom above.

=====

Version A
ThPd3Pt: relaxed, GGA-PBE.

```
ThPd3Pt
1.0
-0.467 -5.014 -1.970
8.047 -0.634 -0.788
-0.962 -1.521 4.098
Th Pd Pt
2 6 2
direct
0.794 0.729 0.364 Th
0.206 0.271 0.636 Th
0.799 0.321 0.160 Pd
0.726 0.117 0.559 Pd
0.274 0.883 0.441 Pd
0.201 0.679 0.840 Pd
0.000 0.000 0.000 Pd
0.500 0.000 0.000 Pd
0.669 0.496 0.748 Pt
0.331 0.504 0.252 Pt
```

As for the density: 13.14 g cm⁻³.

=====

Version B
ThPd3Pt: relaxed, GGA-PBE.

```
ThPd3Pt
1.0
5.214 0.958 0.839
1.741 5.007 0.839
1.741 1.493 4.852
Th Pd Pt
1 3 1
direct
0.827 0.827 0.827 Th
0.698 0.200 0.200 Pd
0.200 0.698 0.200 Pd
0.200 0.200 0.698 Pd
0.200 0.200 0.200 Pt
```

As for the density: 11.44 g cm⁻³.

=====

version A has the most favorable energy; the next structure is 0.131 eV/atom above.